# 1
Below is a geometry-optimized YAl2Cd structure, with properties calculated at the GGA-PBE level.

Geometry as CIF:
```
data_YAl2Cd
_cell_length_a 3.560
_cell_length_b 3.560
_cell_length_c 6.915
_cell_angle_alpha 90.00
_cell_angle_beta 90.00
_cell_angle_gamma 90.00
_space_group_name_H-M_alt 'P 4/m m m'
_space_group_IT_number 123
_space_group_name_Hall '-P 4 2'
loop_
_atom_site_label
_atom_site_type_symbol
_atom_site_fract_x
_atom_site_fract_y
_atom_site_fract_z
Y1 Y 0.000 0.000 0.000
Al1 Al 0.500 0.500 0.285
Cd1 Cd 0.000 0.000 0.500
```

Values from the calculation:
DFT formation energy: -114 meV/atom
total moment: 0.00 μB per cell

# 2
Below is a geometry-optimized YAlCd4 structure, with properties calculated at the GGA-PBE level.

Geometry as CIF:
```
data_YAlCd4
_cell_length_a 8.275
_cell_length_b 8.275
_cell_length_c 8.275
_cell_angle_alpha 90.00
_cell_angle_beta 90.00
_cell_angle_gamma 90.00
_space_group_name_H-M_alt 'F -4 3 m'
_space_group_IT_number 216
_space_group_name_Hall 'F -4 2 3'
loop_
_atom_site_label
_atom_site_type_symbol
_atom_site_fract_x
_atom_site_fract_y
_atom_site_fract_z
Y1 Y 0.000 0.000 0.000
Al1 Al 0.250 0.250 0.750
Cd1 Cd 0.125 0.125 0.375
```

Values from the calculation:
DFT formation energy: -7 meV/atom
total moment: 0.00 μB per cell

# 3
Below is a geometry-optimized Y2AlCd structure, with properties calculated at the GGA-PBE level.

Geometry as CIF:
```
data_Y2AlCd
_cell_length_a 3.683
_cell_length_b 5.071
_cell_length_c 10.781
_cell_angle_alpha 90.00
_cell_angle_beta 90.00
_cell_angle_gamma 90.00
_space_group_name_H-M_alt 'I m m 2'
_space_group_IT_number 44
loop_
_space_group_symop_operation_xyz
'x,y,z'
'-x,-y,z'
'-x,y,z'
'x,-y,z'
'x+1/2,y+1/2,z+1/2'
'-x+1/2,-y+1/2,z+1/2'
'-x+1/2,y+1/2,z+1/2'
'x+1/2,-y+1/2,z+1/2'
loop_
_atom_site_label
_atom_site_type_symbol
_atom_site_fract_x
_atom_site_fract_y
_atom_site_fract_z
Y1 Y 0.000 0.000 0.000
Y2 Y 0.000 0.500 0.229
Al1 Al 0.000 0.500 0.765
Cd1 Cd 0.000 0.000 0.461
```

Values from the calculation:
DFT formation energy: -297 meV/atom
total moment: 0.00 μB per cell

# 4
Below is a geometry-optimized Y2AlCd structure, with properties calculated at the GGA-PBE level.

Geometry as CIF:
```
data_Y2AlCd
_cell_length_a 4.434
_cell_length_b 4.434
_cell_length_c 10.319
_cell_angle_alpha 90.00
_cell_angle_beta 90.00
_cell_angle_gamma 90.00
_space_group_name_H-M_alt 'I -4 m 2'
_space_group_IT_number 119
_space_group_name_Hall 'I -4 -2'
loop_
_atom_site_label
_atom_site_type_symbol
_atom_site_fract_x
_atom_site_fract_y
_atom_site_fract_z
Y1 Y 0.000 0.000 0.000
Y2 Y 0.000 0.500 0.250
Al1 Al 0.000 0.500 0.750
Cd1 Cd 0.000 0.000 0.500
```

Values from the calculation:
DFT formation energy: -220 meV/atom
total moment: 0.00 μB per cell

# 5
Below is a geometry-optimized YAlCd2 structure, with properties calculated at the GGA-PBE level.

Geometry as CIF:
```
data_YAlCd2
_cell_length_a 6.140
_cell_length_b 10.833
_cell_length_c 3.087
_cell_angle_alpha 90.00
_cell_angle_beta 115.21
_cell_angle_gamma 90.00
_space_group_name_H-M_alt 'C 1 2/m 1'
_space_group_IT_number 12
loop_
_space_group_symop_operation_xyz
'x,y,z'
'-x,-y,-z'
'-x,y,-z'
'x,-y,z'
'x+1/2,y+1/2,z'
'-x+1/2,-y+1/2,-z'
'-x+1/2,y+1/2,-z'
'x+1/2,-y+1/2,z'
loop_
_atom_site_label
_atom_site_type_symbol
_atom_site_fract_x
_atom_site_fract_y
_atom_site_fract_z
Y1 Y 0.000 0.000 0.000
Al1 Al 0.000 0.500 0.000
Cd1 Cd 0.250 0.250 0.500
```

Values from the calculation:
DFT formation energy: -75 meV/atom
total moment: 0.40 μB per cell

# 6
Below is a geometry-optimized YAlCd2 structure, with properties calculated at the GGA-PBE level.

Geometry as CIF:
```
data_YAlCd2
_cell_length_a 4.362
_cell_length_b 4.362
_cell_length_c 21.117
_cell_angle_alpha 90.00
_cell_angle_beta 90.00
_cell_angle_gamma 90.00
_space_group_name_H-M_alt 'I -4 2 d'
_space_group_IT_number 122
_space_group_name_Hall 'I -4 2bw'
loop_
_atom_site_label
_atom_site_type_symbol
_atom_site_fract_x
_atom_site_fract_y
_atom_site_fract_z
Y1 Y 0.000 0.000 0.000
Al1 Al 0.000 0.000 0.500
Cd1 Cd 0.224 0.250 0.625
```

Values from the calculation:
DFT formation energy: 5 meV/atom
total moment: 0.00 μB per cell

# 7
Below is a geometry-optimized Y2AlCd structure, with properties calculated at the GGA-PBE level.

Geometry as CIF:
```
data_Y2AlCd
_cell_length_a 3.431
_cell_length_b 3.431
_cell_length_c 8.661
_cell_angle_alpha 90.00
_cell_angle_beta 90.00
_cell_angle_gamma 90.00
_space_group_name_H-M_alt 'P 4 m m'
_space_group_IT_number 99
loop_
_space_group_symop_operation_xyz
'x,y,z'
'-y,x,z'
'-x,-y,z'
'y,-x,z'
'-x,y,z'
'y,x,z'
'x,-y,z'
'-y,-x,z'
loop_
_atom_site_label
_atom_site_type_symbol
_atom_site_fract_x
_atom_site_fract_y
_atom_site_fract_z
Y1 Y 0.000 0.000 0.000
Y2 Y 0.500 0.500 0.313
Al1 Al 0.000 0.000 0.547
Cd1 Cd 0.500 0.500 0.742
```

Values from the calculation:
DFT formation energy: -160 meV/atom
total moment: 0.00 μB per cell

# 8
Below is a geometry-optimized YAlCd2 structure, with properties calculated at the GGA-PBE level.

Geometry as CIF:
```
data_YAlCd2
_cell_length_a 7.092
_cell_length_b 7.105
_cell_length_c 7.145
_cell_angle_alpha 90.00
_cell_angle_beta 90.00
_cell_angle_gamma 90.00
_space_group_name_H-M_alt 'F 2 2 2'
_space_group_IT_number 22
_space_group_name_Hall 'F 2 2'
loop_
_atom_site_label
_atom_site_type_symbol
_atom_site_fract_x
_atom_site_fract_y
_atom_site_fract_z
Y1 Y 0.000 0.000 0.000
Al1 Al 0.250 0.250 0.250
Cd1 Cd 0.000 0.000 0.500
Cd2 Cd 0.250 0.250 0.750
```

Values from the calculation:
DFT formation energy: -190 meV/atom
total moment: 0.00 μB per cell

# 9
Below is a geometry-optimized YAlCd2 structure, with properties calculated at the GGA-PBE level.

Geometry as CIF:
```
data_YAlCd2
_cell_length_a 3.3183
_cell_length_b 3.3183
_cell_length_c 29.9571
_cell_angle_alpha 90.00
_cell_angle_beta 90.00
_cell_angle_gamma 120.00
_space_group_name_H-M_alt 'R -3 m'
_space_group_IT_number 166
_space_group_name_Hall '-R 3 2"'
loop_
_atom_site_label
_atom_site_type_symbol
_atom_site_fract_x
_atom_site_fract_y
_atom_site_fract_z
Y1 Y 0.0000 0.0000 0.0000
Al1 Al 0.0000 0.0000 0.5000
Cd1 Cd 0.0000 0.0000 0.2428
```

Values from the calculation:
DFT formation energy: 34 meV/atom
total moment: 0.00 μB per cell

# 10
Below is a geometry-optimized YAl2Cd structure, with properties calculated at the GGA-PBE level.

Geometry as CIF:
```
data_YAl2Cd
_cell_length_a 3.346
_cell_length_b 4.681
_cell_length_c 5.701
_cell_angle_alpha 90.00
_cell_angle_beta 90.00
_cell_angle_gamma 90.00
_space_group_name_H-M_alt 'P m m 2'
_space_group_IT_number 25
loop_
_space_group_symop_operation_xyz
'x,y,z'
'-x,-y,z'
'-x,y,z'
'x,-y,z'
loop_
_atom_site_label
_atom_site_type_symbol
_atom_site_fract_x
_atom_site_fract_y
_atom_site_fract_z
Y1 Y 0.000 0.000 0.000
Al1 Al 0.500 0.000 0.519
Al2 Al 0.500 0.500 0.768
Cd1 Cd 0.500 0.500 0.261
```

Values from the calculation:
DFT formation energy: -192 meV/atom
total moment: 0.00 μB per cell

# 11
Below is a geometry-optimized Y2AlCd structure, with properties calculated at the GGA-PBE level.

Geometry as CIF:
```
data_Y2AlCd
_cell_length_a 7.396
_cell_length_b 7.396
_cell_length_c 7.396
_cell_angle_alpha 90.00
_cell_angle_beta 90.00
_cell_angle_gamma 90.00
_space_group_name_H-M_alt 'F -4 3 m'
_space_group_IT_number 216
_space_group_name_Hall 'F -4 2 3'
loop_
_atom_site_label
_atom_site_type_symbol
_atom_site_fract_x
_atom_site_fract_y
_atom_site_fract_z
Y1 Y 0.000 0.000 0.000
Y2 Y 0.250 0.250 0.250
Al1 Al 0.000 0.000 0.500
Cd1 Cd 0.250 0.250 0.750
```

Values from the calculation:
DFT formation energy: 78 meV/atom
total moment: 0.00 μB per cell

# 12
Below is a geometry-optimized Y4Al2Cd5 structure, with properties calculated at the GGA-PBE level.

Geometry as CIF:
```
data_Y4Al2Cd5
_cell_length_a 7.734
_cell_length_b 3.597
_cell_length_c 9.821
_cell_angle_alpha 90.00
_cell_angle_beta 94.61
_cell_angle_gamma 90.00
_space_group_name_H-M_alt 'P 1 2/m 1'
_space_group_IT_number 10
loop_
_space_group_symop_operation_xyz
'x,y,z'
'-x,-y,-z'
'-x,y,-z'
'x,-y,z'
loop_
_atom_site_label
_atom_site_type_symbol
_atom_site_fract_x
_atom_site_fract_y
_atom_site_fract_z
Y1 Y 0.169 0.000 0.376
Y2 Y 0.264 0.000 0.938
Al1 Al 0.060 0.500 0.130
Cd1 Cd 0.182 0.500 0.659
Cd2 Cd 0.435 0.500 0.198
Cd3 Cd 0.500 0.500 0.500
```

Values from the calculation:
DFT formation energy: -319 meV/atom
total moment: 0.00 μB per cell

# 13
Below is a geometry-optimized YAlCd2 structure, with properties calculated at the GGA-PBE level.

Geometry as CIF:
```
data_YAlCd2
_cell_length_a 9.551
_cell_length_b 3.518
_cell_length_c 5.768
_cell_angle_alpha 90.00
_cell_angle_beta 102.92
_cell_angle_gamma 90.00
_space_group_name_H-M_alt 'C 1 m 1'
_space_group_IT_number 8
loop_
_space_group_symop_operation_xyz
'x,y,z'
'x,-y,z'
'x+1/2,y+1/2,z'
'x+1/2,-y+1/2,z'
loop_
_atom_site_label
_atom_site_type_symbol
_atom_site_fract_x
_atom_site_fract_y
_atom_site_fract_z
Y1 Y 0.000 0.000 0.000
Al1 Al 0.248 0.000 0.731
Cd1 Cd 0.010 0.500 0.520
Cd2 Cd 0.260 0.500 0.296
```

Values from the calculation:
DFT formation energy: -98 meV/atom
total moment: 0.00 μB per cell

# 14
Below is a geometry-optimized YAl2Cd structure, with properties calculated at the GGA-PBE level.

Geometry as CIF:
```
data_YAl2Cd
_cell_length_a 9.052
_cell_length_b 3.449
_cell_length_c 5.893
_cell_angle_alpha 90.00
_cell_angle_beta 102.19
_cell_angle_gamma 90.00
_space_group_name_H-M_alt 'C 1 2/m 1'
_space_group_IT_number 12
loop_
_space_group_symop_operation_xyz
'x,y,z'
'-x,-y,-z'
'-x,y,-z'
'x,-y,z'
'x+1/2,y+1/2,z'
'-x+1/2,-y+1/2,-z'
'-x+1/2,y+1/2,-z'
'x+1/2,-y+1/2,z'
loop_
_atom_site_label
_atom_site_type_symbol
_atom_site_fract_x
_atom_site_fract_y
_atom_site_fract_z
Y1 Y 0.000 0.000 0.000
Al1 Al 0.243 0.000 0.700
Cd1 Cd 0.000 0.500 0.500
```

Values from the calculation:
DFT formation energy: -89 meV/atom
total moment: 0.00 μB per cell

# 15
Below is a geometry-optimized YAlCd2 structure, with properties calculated at the GGA-PBE level.

Geometry as CIF:
```
data_YAlCd2
_cell_length_a 3.540
_cell_length_b 3.540
_cell_length_c 7.315
_cell_angle_alpha 90.00
_cell_angle_beta 90.00
_cell_angle_gamma 90.00
_space_group_name_H-M_alt 'P 4/m m m'
_space_group_IT_number 123
_space_group_name_Hall '-P 4 2'
loop_
_atom_site_label
_atom_site_type_symbol
_atom_site_fract_x
_atom_site_fract_y
_atom_site_fract_z
Y1 Y 0.000 0.000 0.000
Al1 Al 0.000 0.000 0.500
Cd1 Cd 0.500 0.500 0.283
```

Values from the calculation:
DFT formation energy: -130 meV/atom
total moment: 0.38 μB per cell

# 16
Below is a geometry-optimized YAlCd2 structure, with properties calculated at the GGA-PBE level.

Geometry as CIF:
```
data_YAlCd2
_cell_length_a 3.316
_cell_length_b 4.917
_cell_length_c 5.798
_cell_angle_alpha 90.00
_cell_angle_beta 90.00
_cell_angle_gamma 90.00
_space_group_name_H-M_alt 'P m m m'
_space_group_IT_number 47
loop_
_space_group_symop_operation_xyz
'x,y,z'
'-x,-y,-z'
'-x,-y,z'
'x,y,-z'
'x,-y,-z'
'-x,y,z'
'-x,y,-z'
'x,-y,z'
loop_
_atom_site_label
_atom_site_type_symbol
_atom_site_fract_x
_atom_site_fract_y
_atom_site_fract_z
Y1 Y 0.000 0.000 0.000
Al1 Al 0.500 0.000 0.500
Cd1 Cd 0.500 0.500 0.249
```

Values from the calculation:
DFT formation energy: -179 meV/atom
total moment: 0.00 μB per cell

# 17
Below is a geometry-optimized YAlZnCd structure, with properties calculated at the GGA-PBE level.

Geometry as CIF:
```
data_YAlZnCd
_cell_length_a 6.931
_cell_length_b 6.931
_cell_length_c 6.931
_cell_angle_alpha 90.00
_cell_angle_beta 90.00
_cell_angle_gamma 90.00
_space_group_name_H-M_alt 'F -4 3 m'
_space_group_IT_number 216
_space_group_name_Hall 'F -4 2 3'
loop_
_atom_site_label
_atom_site_type_symbol
_atom_site_fract_x
_atom_site_fract_y
_atom_site_fract_z
Y1 Y 0.000 0.000 0.000
Al1 Al 0.250 0.250 0.750
Zn1 Zn 0.250 0.250 0.250
Cd1 Cd 0.000 0.000 0.500
```

Values from the calculation:
DFT formation energy: -210 meV/atom
total moment: 0.00 μB per cell

# 18
Below is a geometry-optimized Y4AlZnCd2 structure, with properties calculated at the GGA-PBE level.

Geometry as CIF:
```
data_Y4AlZnCd2
_cell_length_a 5.2017
_cell_length_b 5.2017
_cell_length_c 25.5153
_cell_angle_alpha 90.00
_cell_angle_beta 90.00
_cell_angle_gamma 120.00
_space_group_name_H-M_alt 'R -3 m'
_space_group_IT_number 166
_space_group_name_Hall '-R 3 2"'
loop_
_atom_site_label
_atom_site_type_symbol
_atom_site_fract_x
_atom_site_fract_y
_atom_site_fract_z
Y1 Y 0.0000 0.0000 0.1240
Y2 Y 0.0000 0.0000 0.3740
Al1 Al 0.0000 0.0000 0.5000
Zn1 Zn 0.0000 0.0000 0.0000
Cd1 Cd 0.0000 0.0000 0.2496
```

Values from the calculation:
DFT formation energy: -361 meV/atom
total moment: 0.00 μB per cell

# 19
Below is a geometry-optimized Y4Al2ZnCd structure, with properties calculated at the GGA-PBE level.

Geometry as CIF:
```
data_Y4Al2ZnCd
_cell_length_a 5.1485
_cell_length_b 5.1485
_cell_length_c 25.2225
_cell_angle_alpha 90.00
_cell_angle_beta 90.00
_cell_angle_gamma 120.00
_space_group_name_H-M_alt 'R -3 m'
_space_group_IT_number 166
_space_group_name_Hall '-R 3 2"'
loop_
_atom_site_label
_atom_site_type_symbol
_atom_site_fract_x
_atom_site_fract_y
_atom_site_fract_z
Y1 Y 0.0000 0.0000 0.1216
Y2 Y 0.0000 0.0000 0.3718
Al1 Al 0.0000 0.0000 0.2482
Zn1 Zn 0.0000 0.0000 0.0000
Cd1 Cd 0.0000 0.0000 0.5000
```

Values from the calculation:
DFT formation energy: -396 meV/atom
total moment: 0.00 μB per cell

# 20
Below is a geometry-optimized Y4AlZn2Cd structure, with properties calculated at the GGA-PBE level.

Geometry as CIF:
```
data_Y4AlZn2Cd
_cell_length_a 5.1421
_cell_length_b 5.1421
_cell_length_c 25.2226
_cell_angle_alpha 90.00
_cell_angle_beta 90.00
_cell_angle_gamma 120.00
_space_group_name_H-M_alt 'R -3 m'
_space_group_IT_number 166
_space_group_name_Hall '-R 3 2"'
loop_
_atom_site_label
_atom_site_type_symbol
_atom_site_fract_x
_atom_site_fract_y
_atom_site_fract_z
Y1 Y 0.0000 0.0000 0.1226
Y2 Y 0.0000 0.0000 0.3727
Al1 Al 0.0000 0.0000 0.0000
Zn1 Zn 0.0000 0.0000 0.2488
Cd1 Cd 0.0000 0.0000 0.5000
```

Values from the calculation:
DFT formation energy: -369 meV/atom
total moment: 0.00 μB per cell